(1)
Crystalline TaTl2Au2 at its relaxed geometry. Source: OQMD, functional PBE-GGA.

abc: 4.1445 4.1445 12.4918
angles: 90.00 90.00 90.00
With the nearest neighbours (Å) after each atom.
Space group I4/mmm (No. 139)
One atom of each set of equivalent atoms:
Ta: 0.0000 0.0000 0.0000 x2  8 Tl 3.21
Tl: 0.0000 0.0000 0.3950 x4  1 Tl 2.62, 4 Au 2.75
Au: 0.0000 0.5000 0.2500 x4  4 Tl 2.75, 4 Au 2.93

* total moment: 0.11 μB/cell
* raw total energy: -3.7184 eV/atom

(2)
Crystalline PmNp at its relaxed geometry. Source: OQMD, functional PBE-GGA.

abc: 6.3596 6.3596 6.3596
angles: 90.00 90.00 90.00
With the nearest neighbours (Å) after each atom.
Space group F-43m (No. 216)
One atom of each set of equivalent atoms:
Pm: 0.0000 0.0000 0.0000 x4  4 Np 2.75
Np: 0.2500 0.2500 0.2500 x4  4 Pm 2.75

* total moment: 17.00 μB/cell
* DFT formation energy: 2049.1 meV per atom
* raw total energy: -6.7084 eV/atom

(3)
Crystalline Pm3Si4 at its relaxed geometry. Source: OQMD, functional PBE-GGA.

abc: 3.9348 4.3831 17.8618
angles: 90.00 90.00 90.00
With the nearest neighbours (Å) after each atom.
Space group Immm (No. 71)
One atom of each set of equivalent atoms:
Pm: 0.0000 0.0000 0.0000 x2  12 Si 3.17-3.41
Pm: 0.0000 0.5000 0.3180 x4  7 Si 3.01-3.06
Si: 0.0000 0.0000 0.4340 x4  3 Si 2.36-2.44
Si: 0.0000 0.5000 0.1466 x4  2 Si 2.44

* total moment: 0.00 μB/cell
* raw total energy: -5.8805 eV/atom

(4)
Crystalline LuCdInSe3 at its relaxed geometry. Source: OQMD, functional PBE-GGA.

abc: 4.1693 14.4867 10.9808
angles: 90.00 90.00 90.00
With the nearest neighbours (Å) after each atom.
Space group Cmcm (No. 63)
One atom of each set of equivalent atoms:
Lu: 0.0000 0.0000 0.0000 x4  6 Se 2.86-2.94
Cd: 0.0000 0.4541 0.2500 x4  4 Se 2.61-2.70
In: 0.0000 0.2550 0.7500 x4  8 Se 3.26-3.60
Se: 0.0000 0.0723 0.2500 x4  2 Cd 2.70, 2 Lu 2.94
Se: 0.0000 0.3687 0.0411 x8  1 Cd 2.61, 2 Lu 2.86

* total moment: 0.01 μB/cell
* raw total energy: -4.0854 eV/atom

(5)
Crystalline NpAs at its relaxed geometry. Source: OQMD, functional PBE-GGA.

abc: 3.4936 3.4936 3.4936
angles: 90.00 90.00 90.00
With the nearest neighbours (Å) after each atom.
Space group Pm-3m (No. 221)
One atom of each set of equivalent atoms:
Np: 0.0000 0.0000 0.0000 x1  8 As 3.03
As: 0.5000 0.5000 0.5000 x1  8 Np 3.03

* total moment: 3.98 μB/cell
* raw total energy: -9.3400 eV/atom

(6)
Crystalline Cs4SbAu2N at its relaxed geometry. Source: OQMD, functional PBE-GGA.

abc: 7.3995 11.4818 6.9917
angles: 90.00 90.00 90.00
With the nearest neighbours (Å) after each atom.
Space group Amm2 (No. 38)
One atom of each set of equivalent atoms:
Cs: 0.0000 0.1617 0.0000 x4  1 N 3.09
Cs: 0.5000 0.1667 0.2779 x4  2 Au 3.48, 1 Sb 3.83, 1 Cs 3.83
Sb: 0.5000 0.0000 0.7914 x2  2 Au 2.74
Au: 0.2059 0.0000 0.5539 x4  1 N 2.07
N: 0.0000 0.0000 0.3532 x2  2 Au 2.07

* raw total energy: -2.9644 eV/atom

(7)
Crystalline ReAsOsO at its relaxed geometry. Source: OQMD, functional PBE-GGA.

abc: 3.9853 5.6235 5.2219
angles: 90.00 90.00 90.00
With the nearest neighbours (Å) after each atom.
Space group Pmc2_1 (No. 26)
One atom of each set of equivalent atoms:
Re: 0.0000 0.0748 0.0000 x2  2 O 2.05-2.24
As: 0.5000 0.3146 0.8275 x2  2 Re 2.57, 3 Os 2.57-2.68
Os: 0.5000 0.2283 0.3317 x2  2 O 2.02
O: 0.0000 0.2694 0.3734 x2  2 Os 2.02, 2 Re 2.05-2.24

* total moment: 0.00 μB/cell
* raw total energy: -8.2754 eV/atom

(8)
Crystalline CoW4SN2 at its relaxed geometry. Source: OQMD, functional PBE-GGA.

abc: 2.8655 2.8655 13.7541
angles: 90.00 90.00 120.00
With the nearest neighbours (Å) after each atom.
Space group P-6m2 (No. 187)
One atom of each set of equivalent atoms:
Co: 0.0000 0.0000 0.0000 x1  6 W 2.66, 6 Co 2.87
W: 0.0000 0.0000 0.3612 x2  3 N 2.20
W: 0.6667 0.3333 0.1513 x2  3 N 2.19
S: 0.6667 0.3333 0.5000 x1  6 W 2.53
N: 0.3333 0.6667 0.2555 x2  6 W 2.19-2.20

* total moment: 0.69 μB/cell
* raw total energy: -9.7363 eV/atom

Question: Among the records above, which one has the highest raw total energy?
Answer: Cs4SbAu2N

Question: Which of these has the lowest raw total energy?
Answer: CoW4SN2

Question: Among the records above, which one has the lowest raw total energy?
Answer: CoW4SN2

Question: What is the formula in the first record?
Answer: TaTl2Au2